Record 1
Compound: Hf2Al3Cu2
Source: Alexandria
Functional: GGA-PBE
Structure: relaxed

The calculation puts the formation energy at -0.32 eV/atom.

It has space group Cmcm (No. 63), with a = 4.239 Å, b = 18.698 Å, c = 5.818 Å, α = 90.00°, β = 90.00° and γ = 90.00°. The asymmetric unit holds Hf at (0.000, 0.016, 0.250), Hf at (0.000, 0.152, 0.750), Al at (0.000, 0.174, 0.250), Al at (0.000, 0.423, 0.013) and Cu at (0.000, 0.286, 0.002).

***

Record 2
Compound: RbSnB
Source: Alexandria
Functional: GGA-PBE
Structure: relaxed

The calculation puts the formation energy at 0.32 eV/atom.

It has space group P2_1/c (No. 14), with a = 7.174 Å, b = 7.507 Å, c = 6.900 Å, α = 90.00°, β = 115.08° and γ = 90.00°. The asymmetric unit holds Rb at (0.092, 0.236, 0.112), Sn at (0.410, 0.641, 0.343) and B at (0.460, 0.594, 0.029).

***

Record 3
Compound: CaAcMg10
Source: Alexandria
Functional: GGA-PBE
Structure: relaxed

The calculation puts the formation energy at -0.05 eV/atom.

It has space group Pmmm (No. 47), with a = 5.021 Å, b = 6.074 Å, c = 10.660 Å, α = 90.00°, β = 90.00° and γ = 90.00°. The asymmetric unit holds Ca at (0.000, 0.000, 0.000), Ac at (0.000, 0.500, 0.500), Mg at (0.000, 0.000, 0.326), Mg at (0.000, 0.500, 0.162), Mg at (0.500, 0.000, 0.500), Mg at (0.500, 0.253, 0.253) and Mg at (0.500, 0.500, 0.000).

***

Record 4
Compound: Sb2P3Cl9
Source: Alexandria
Functional: GGA-PBE
Structure: relaxed

The value obtained for the energy relative to the elements, uncorrected is -5.71 eV/f.u. For the relative energy among the computed polymorphs, the calculation gives 0 meV/atom.

It has space group P-1 (No. 2), with a = 7.033 Å, b = 7.047 Å, c = 11.637 Å, α = 100.64°, β = 101.28° and γ = 93.02°. The asymmetric unit holds Sb at (0.240, 0.242, 0.424), P at (0.251, 0.202, 0.930), P at (0.500, 0.500, 0.500), Cl at (0.000, 0.000, 0.500), Cl at (0.000, 0.500, 0.500), Cl at (0.039, 0.771, 0.138), Cl at (0.272, 0.917, 0.851), Cl at (0.384, 0.348, 0.824) and Cl at (0.500, 0.000, 0.500).

***

Number 1: DOS at the Fermi energy 3.06 states/eV/f.u.. Number 2: DOS at the Fermi energy 0.26 states/eV/f.u.. Number 3: DOS at the Fermi energy 7.37 states/eV/f.u.. Number 4: DOS at the Fermi energy 1.67 states/eV/f.u..